Record 1
A plane-wave DFT calculation with PBE was carried out for Hf3TeN after structural relaxation.

Unit cell a=4.4855 b=4.4855 c=4.4855 alpha=90.00 beta=90.00 gamma=90.00
Space group Pm-3m (No. 221)
One atom of each set of equivalent atoms:
Hf 0.0000 0.0000 0.5000 x3
Te 0.5000 0.5000 0.5000 x1
N 0.0000 0.0000 0.0000 x1

* ΔE to the lowest computed polymorph: 0.0000 eV/atom

***

Record 2
A plane-wave DFT calculation with PBE was carried out for In5C3 after structural relaxation.

Unit cell a=7.6887 b=11.6011 c=3.5470 alpha=90.00 beta=90.00 gamma=90.00
Space group Cmmm (No. 65)
One atom of each set of equivalent atoms:
In 0.0000 0.0000 0.0000 x2
In 0.1904 0.5000 0.5000 x4
In 0.2500 0.2500 0.0000 x4
C 0.0000 0.1321 0.5000 x4
C 0.0000 0.5000 0.0000 x2

* calculated formation energy: 1.485 eV per atom
* ΔE to the lowest computed polymorph: 0.2895 eV/atom

***

Record 3
A plane-wave DFT calculation with PBE was carried out for InSbAsSe2 after structural relaxation.

Unit cell a=5.4971 b=5.4971 c=5.4576 alpha=90.00 beta=90.00 gamma=90.00
Space group P4/mmm (No. 123)
One atom of each set of equivalent atoms:
In 0.0000 0.0000 0.0000 x1
Sb 0.5000 0.5000 0.5000 x1
As 0.5000 0.5000 0.0000 x1
Se 0.0000 0.5000 0.5000 x2

* ΔE to the lowest computed polymorph: 0.0000 eV/atom

***

Record 4
A plane-wave DFT calculation with PBE was carried out for P3Pb5ClO12 after structural relaxation.

Unit cell a=10.2030 b=10.2030 c=7.3705 alpha=90.00 beta=90.00 gamma=120.00
Space group P6_3/m (No. 176)
One atom of each set of equivalent atoms:
P 0.0327 0.4115 0.2500 x6
Pb 0.0175 0.7575 0.2500 x6
Pb 0.3333 0.6667 0.5055 x4
Cl 0.0000 0.0000 0.0000 x2
O 0.0878 0.3613 0.0797 x12
O 0.1200 0.5903 0.2500 x6
O 0.1403 0.6522 0.7500 x6

* calculated total energy: -6.447 eV/atom

***

Record 5
A plane-wave DFT calculation with PBE was carried out for Pr3SmZn after structural relaxation.

Unit cell a=12.1304 b=9.1950 c=7.9966 alpha=90.00 beta=130.90 gamma=90.00
Space group C2/m (No. 12)
One atom of each set of equivalent atoms:
Pr 0.0548 0.0000 0.3257 x4
Pr 0.2314 0.3083 0.7613 x8
Sm 0.0626 0.5000 0.2665 x4
Zn 0.2459 0.5000 0.1205 x4

* calculated formation energy: 0.053 eV per atom
* ΔE to the lowest computed polymorph: 0.1661 eV/atom

***

Record 6
A plane-wave DFT calculation with PBE was carried out for V2GaN after structural relaxation.

Unit cell a=5.9730 b=5.9730 c=5.7470 alpha=90.00 beta=90.00 gamma=90.00
Space group I-42d (No. 122)
One atom of each set of equivalent atoms:
V 0.1591 0.2500 0.1250 x8
Ga 0.0000 0.0000 0.5000 x4
N 0.0000 0.0000 0.0000 x4

* calculated total energy: -7.676 eV/atom

***

Record 7
A plane-wave DFT calculation with PBE was carried out for SrLa2BiRh after structural relaxation.

Unit cell a=5.4245 b=5.4245 c=5.9243 alpha=90.00 beta=90.00 gamma=90.00
Space group P4/mmm (No. 123)
One atom of each set of equivalent atoms:
Sr 0.0000 0.0000 0.0000 x1
La 0.0000 0.5000 0.5000 x2
Bi 0.5000 0.5000 0.0000 x1
Rh 0.0000 0.0000 0.5000 x1

* calculated formation energy: -0.596 eV per atom

***

Record 8
A plane-wave DFT calculation with PBE was carried out for MgAlAu2 after structural relaxation.

Unit cell a=8.2877 b=3.3204 c=5.5278 alpha=90.00 beta=103.16 gamma=90.00
Space group C2/m (No. 12)
One atom of each set of equivalent atoms:
Mg 0.0000 0.0000 0.0000 x2
Al 0.0000 0.5000 0.5000 x2
Au 0.2428 0.0000 0.7343 x4

* calculated formation energy: -0.340 eV per atom